(1)
Entry from Alexandria via LeMat-Bulk: a geometry-optimized Tm3Ag3PdO8 structure (PBE).

The space group is C2/m (No. 12) and the conventional cell measures 11.548, 6.669 and 6.928 Å, with angles of 90.00, 123.90 and 90.00 degrees. The inequivalent atoms are Tm at (0.000, 0.000, 0.000), Tm at (0.250, 0.250, 0.000), Ag at (0.000, 0.500, 0.500), Ag at (0.250, 0.250, 0.500), Pd at (0.000, 0.500, 0.000), O at (0.013, 0.270, 0.810), O at (0.217, 0.500, 0.189) and O at (0.227, 0.000, 0.180).

Its raw formation energy is -1.805 eV/atom. As for the spin magnetization: 0.00 μB/f.u.

***

(2)
Entry from Alexandria via LeMat-Bulk: a geometry-optimized HoIn2Sn structure (PBE).

The space group is Fm-3m (No. 225) and the conventional cell measures 7.568, 7.568 and 7.568 Å, with angles of 90.00, 90.00 and 90.00 degrees. The inequivalent atoms are Ho at (0.000, 0.000, 0.000), In at (0.250, 0.250, 0.250) and Sn at (0.000, 0.000, 0.500).

As for the offset from the most stable computed form: 1.04 eV/f.u. As for the spin magnetization: 0.00 μB/f.u. The value obtained for the energy of formation from the pure elements is -0.14 eV per atom.

***

(3)
Entry from Alexandria via LeMat-Bulk: a geometry-optimized Cs2Ag2Te structure (PBE).

The space group is P4/mbm (No. 127) and the conventional cell measures 8.080, 8.080 and 5.604 Å, with angles of 90.00, 90.00 and 90.00 degrees. The inequivalent atoms are Cs at (0.193, 0.307, 0.000), Ag at (0.119, 0.619, 0.500) and Te at (0.000, 0.000, 0.500).

As for the offset from the most stable computed form: 0.52 eV/f.u. Its raw formation energy is -0.266 eV/atom. As for the spin magnetization: 0.00 μB/f.u.